A relaxed SrLi12Ca16 crystal. Source: the Alexandria database, functional PBE.

Structure (POSCAR):
```
SrLi12Ca16
1.0
6.295 -9.038 0.000
6.295 9.038 0.000
-6.219 0.000 8.797
Sr Li Ca
1 12 16
direct
0.000 0.000 0.000
0.047 0.222 0.385
0.054 0.054 0.581
0.222 0.047 0.385
0.224 0.570 0.557
0.238 0.238 0.931
0.412 0.587 0.118
0.412 0.755 0.939
0.570 0.224 0.557
0.577 0.761 0.743
0.587 0.412 0.118
0.755 0.412 0.939
0.761 0.577 0.743
0.015 0.702 0.362
0.068 0.402 0.750
0.076 0.406 0.146
0.104 0.713 0.062
0.110 0.777 0.748
0.402 0.068 0.750
0.403 0.798 0.428
0.406 0.076 0.146
0.408 0.408 0.383
0.410 0.410 0.743
0.702 0.015 0.362
0.713 0.104 0.062
0.747 0.747 0.497
0.756 0.756 0.102
0.777 0.110 0.748
0.798 0.403 0.428
```

ρ (g/cm3): 1.3
Formation energy from the elements (eV/atom): 0.05



A relaxed MnNi3Pt7 crystal. Source: the Alexandria database, functional PBE.

Structure (POSCAR):
```
MnNi3Pt7
1.0
4.241 -4.530 0.000
4.241 4.530 0.000
-2.116 0.000 4.460
Mn Ni Pt
1 3 7
direct
0.000 0.000 0.000
0.274 0.726 0.500
0.500 0.500 0.000
0.726 0.274 0.500
0.000 0.000 0.500
0.087 0.567 0.818
0.312 0.312 0.448
0.433 0.913 0.182
0.567 0.087 0.818
0.688 0.688 0.552
0.913 0.433 0.182
```

ρ (g/cm3): 15.5
Formation energy from the elements (eV/atom): 0.14



A relaxed InSbPt2 crystal. Source: the Alexandria database, functional PBE.

Structure (POSCAR):
```
InSbPt2
1.0
-2.217 2.217 8.715
2.217 -2.217 8.715
2.217 2.217 -8.715
In Sb Pt
2 2 4
direct
0.000 0.000 0.000
0.750 0.250 0.500
0.250 0.750 0.500
0.500 0.500 0.000
0.142 0.625 0.017
0.375 0.392 0.517
0.608 0.125 0.983
0.875 0.858 0.483
```

Formation energy without anion corrections (kJ per mole of atoms): -16.04
ρ (g/cm3): 12.1



A relaxed TcSb2Se crystal. Source: the Alexandria database, functional PBE.

Structure (POSCAR):
```
TcSb2Se
1.0
5.046 0.000 0.000
0.000 5.046 0.000
0.000 0.000 3.288
Tc Sb Se
1 2 1
direct
0.000 0.000 0.000
0.000 0.500 0.500
0.500 0.000 0.500
0.500 0.500 0.000
```

Formation energy without anion corrections (kJ per mole of atoms): 52.80
ρ (g/cm3): 8.3



A relaxed TmNpSnHg crystal. Source: the Alexandria database, functional PBE.

Structure (POSCAR):
```
TmNpSnHg
1.0
0.000 3.728 3.728
3.728 0.000 3.728
3.728 3.728 0.000
Tm Np Sn Hg
1 1 1 1
direct
0.000 0.000 0.000
0.500 0.500 0.500
0.250 0.250 0.250
0.750 0.750 0.750
```

ρ (g/cm3): 11.6
Formation energy from the elements (eV/atom): -0.15



A relaxed VP2PbS8 crystal. Source: the Alexandria database, functional PBE.

Structure (POSCAR):
```
VP2PbS8
1.0
4.901 -3.252 0.000
4.901 3.252 0.000
-0.772 0.000 8.438
V P Pb S
1 2 1 8
direct
0.000 0.000 0.000
0.369 0.369 0.213
0.631 0.631 0.787
0.000 0.000 0.500
0.241 0.241 0.006
0.243 0.737 0.794
0.263 0.757 0.206
0.302 0.302 0.429
0.698 0.698 0.571
0.737 0.243 0.794
0.757 0.263 0.206
0.759 0.759 0.994
```

Formation energy without anion corrections (kJ per mole of atoms): -29.66
ρ (g/cm3): 3.6